The following is a PBE-GGA calculation of Ce2NpO6 after structural relaxation, from Alexandria via LeMat-Bulk.

Unit cell a=6.6626 b=6.6626 c=6.6626 alpha=146.44 beta=131.74 gamma=60.07
Element x y z (fractional)
Ce 0.1665 0.1665 0.0000
Ce 0.8335 0.8335 0.0000
Np 0.5000 0.5000 0.0000
O 0.0921 0.3375 0.7546
O 0.2603 0.0000 0.2603
O 0.4171 0.6625 0.7546
O 0.5829 0.3375 0.2454
O 0.7397 0.0000 0.7397
O 0.9079 0.6625 0.2454

**Fermi-level density of states**: 13.29 states/eV/f.u.
**Formation energy from raw total energies**: -3.349 eV per atom